1.
Computed, not measured: PuGeTe3 after structural relaxation at the PBE level of DFT. Values from VASP.

Cell and atoms, written as Quantum ESPRESSO input:
```
&SYSTEM
  ibrav = 0, nat = 10, ntyp = 3
/
ATOMIC_SPECIES
Pu 244.00 Pu.upf
Ge 72.64 Ge.upf
Te 127.60 Te.upf
CELL_PARAMETERS angstrom
9.019 -2.222 0.000
9.019 2.222 0.000
-2.032 0.000 7.899
ATOMIC_POSITIONS angstrom
Pu 3.506 0.000 1.962
Pu 12.500 0.000 5.937
Ge 7.673 0.000 2.379
Ge 8.333 0.000 5.520
Te 0.292 0.000 1.427
Te 1.753 0.000 4.559
Te 6.103 0.000 0.142
Te 9.903 0.000 7.756
Te 14.253 0.000 3.340
Te 15.714 0.000 6.471
```

Calculated values
Uncorrected energy = -6.17 eV/atom
SG = C2/m (12)
Formation energy without anion corrections = -0.492 eV per atom

2.
Computed, not measured: Sc2TaBr2 after structural relaxation at the PBE level of DFT. Values from VASP.

Cell and atoms, written as Quantum ESPRESSO input:
```
&SYSTEM
  ibrav = 0, nat = 10, ntyp = 3
/
ATOMIC_SPECIES
Sc 44.96 Sc.upf
Ta 180.95 Ta.upf
Br 79.90 Br.upf
CELL_PARAMETERS angstrom
7.745 0.000 0.000
0.000 7.745 0.000
0.000 0.000 3.289
ATOMIC_POSITIONS angstrom
Sc 1.285 2.588 0.000
Sc 2.588 6.460 0.000
Sc 5.158 1.285 0.000
Sc 6.460 5.158 0.000
Ta 0.000 0.000 1.644
Ta 3.873 3.873 1.644
Br 1.095 4.968 1.644
Br 2.777 1.095 1.644
Br 4.968 6.650 1.644
Br 6.650 2.777 1.644
```

Calculated values
Energy relative to the lowest polymorph listed for this composition = 0.000 eV/f.u.
Uncorrected energy = -5.65 eV/atom
SG = P4/mbm (127)
Formation energy without anion corrections = -0.074 eV per atom